(1)
# Cs2KGaBr6 | Alexandria | SCAN | PBEsol geometry
data_Cs2KGaBr6
_cell_length_a 11.1967
_cell_length_b 11.1967
_cell_length_c 11.1967
_cell_angle_alpha 90.00
_cell_angle_beta 90.00
_cell_angle_gamma 90.00
_symmetry_space_group_name_H-M 'F m -3 m'
_symmetry_Int_Tables_number 225
_symmetry_space_group_name_Hall '-F 4 2 3'
loop_
_atom_site_label
_atom_site_type_symbol
_atom_site_fract_x
_atom_site_fract_y
_atom_site_fract_z
Cs1 Cs 0.2500 0.2500 0.2500
K1 K 0.0000 0.0000 0.0000
Ga1 Ga 0.0000 0.0000 0.5000
Br1 Br 0.0000 0.0000 0.2742
# - V: 35.09 A^3/atom
# - Total magnetization: 0.00 μB per formula unit
# - Formation energy from raw total energies: -1540 meV per atom


(2)
# Cs2NaGaBr6 | Alexandria | SCAN | PBEsol geometry
data_Cs2NaGaBr6
_cell_length_a 10.8388
_cell_length_b 10.8388
_cell_length_c 10.8388
_cell_angle_alpha 90.00
_cell_angle_beta 90.00
_cell_angle_gamma 90.00
_symmetry_space_group_name_H-M 'F m -3 m'
_symmetry_Int_Tables_number 225
_symmetry_space_group_name_Hall '-F 4 2 3'
loop_
_atom_site_label
_atom_site_type_symbol
_atom_site_fract_x
_atom_site_fract_y
_atom_site_fract_z
Cs1 Cs 0.2500 0.2500 0.2500
Na1 Na 0.0000 0.0000 0.0000
Ga1 Ga 0.0000 0.0000 0.5000
Br1 Br 0.0000 0.0000 0.2660
# - V: 31.83 A^3/atom
# - Total magnetization: 0.00 μB per formula unit
# - Formation energy from raw total energies: -1511 meV per atom


(3)
# Cs2RbGaBr6 | Alexandria | SCAN | PBEsol geometry
data_Cs2RbGaBr6
_cell_length_a 11.3887
_cell_length_b 11.3887
_cell_length_c 11.3887
_cell_angle_alpha 90.00
_cell_angle_beta 90.00
_cell_angle_gamma 90.00
_symmetry_space_group_name_H-M 'F m -3 m'
_symmetry_Int_Tables_number 225
_symmetry_space_group_name_Hall '-F 4 2 3'
loop_
_atom_site_label
_atom_site_type_symbol
_atom_site_fract_x
_atom_site_fract_y
_atom_site_fract_z
Cs1 Cs 0.2500 0.2500 0.2500
Rb1 Rb 0.0000 0.0000 0.0000
Ga1 Ga 0.0000 0.0000 0.5000
Br1 Br 0.0000 0.0000 0.2781
# - V: 36.93 A^3/atom
# - Total magnetization: 0.00 μB per formula unit
# - Formation energy from raw total energies: -1526 meV per atom


(4)
# CsGaSe2Br | Alexandria | SCAN | PBEsol geometry
data_CsGaSe2Br
_cell_length_a 4.9847
_cell_length_b 4.9847
_cell_length_c 5.7007
_cell_angle_alpha 90.00
_cell_angle_beta 90.00
_cell_angle_gamma 90.00
_symmetry_space_group_name_H-M 'P 4/m m m'
_symmetry_Int_Tables_number 123
_symmetry_space_group_name_Hall '-P 4 2'
loop_
_atom_site_label
_atom_site_type_symbol
_atom_site_fract_x
_atom_site_fract_y
_atom_site_fract_z
Cs1 Cs 0.0000 0.0000 0.0000
Ga1 Ga 0.5000 0.5000 0.5000
Se1 Se 0.0000 0.5000 0.5000
Br1 Br 0.5000 0.5000 0.0000
# - V: 28.33 A^3/atom
# - Total magnetization: 0.00 μB per formula unit
# - Formation energy from raw total energies: -690 meV per atom


(5)
# CsGe3Br | Alexandria | SCAN | PBEsol geometry
data_CsGe3Br
_cell_length_a 5.6859
_cell_length_b 5.6859
_cell_length_c 5.6859
_cell_angle_alpha 90.00
_cell_angle_beta 90.00
_cell_angle_gamma 90.00
_symmetry_space_group_name_H-M 'P m -3 m'
_symmetry_Int_Tables_number 221
_symmetry_space_group_name_Hall '-P 4 2 3'
loop_
_atom_site_label
_atom_site_type_symbol
_atom_site_fract_x
_atom_site_fract_y
_atom_site_fract_z
Cs1 Cs 0.0000 0.0000 0.0000
Ge1 Ge 0.0000 0.0000 0.5000
Br1 Br 0.5000 0.5000 0.5000
# - V: 36.76 A^3/atom
# - Total magnetization: 0.01 μB per formula unit
# - Formation energy from raw total energies: 1828 meV per atom
# - Relative energy among the computed polymorphs: 1019 meV/atom


(6)
# CsGe3Br | Alexandria | SCAN | PBEsol geometry
data_CsGe3Br
_cell_length_a 5.3395
_cell_length_b 5.3395
_cell_length_c 5.3395
_cell_angle_alpha 90.00
_cell_angle_beta 90.00
_cell_angle_gamma 90.00
_symmetry_space_group_name_H-M 'P m -3 m'
_symmetry_Int_Tables_number 221
_symmetry_space_group_name_Hall '-P 4 2 3'
loop_
_atom_site_label
_atom_site_type_symbol
_atom_site_fract_x
_atom_site_fract_y
_atom_site_fract_z
Cs1 Cs 0.0000 0.0000 0.0000
Ge1 Ge 0.0000 0.5000 0.5000
Br1 Br 0.5000 0.5000 0.5000
# - V: 30.45 A^3/atom
# - Total magnetization: 0.00 μB per formula unit
# - Formation energy from raw total energies: 809 meV per atom
# - Relative energy among the computed polymorphs: 0 meV/atom


(7)
# CsGeBr3 | Alexandria | SCAN | PBEsol geometry
data_CsGeBr3
_cell_length_a 5.4637
_cell_length_b 5.4637
_cell_length_c 5.4637
_cell_angle_alpha 90.00
_cell_angle_beta 90.00
_cell_angle_gamma 90.00
_symmetry_space_group_name_H-M 'P m -3 m'
_symmetry_Int_Tables_number 221
_symmetry_space_group_name_Hall '-P 4 2 3'
loop_
_atom_site_label
_atom_site_type_symbol
_atom_site_fract_x
_atom_site_fract_y
_atom_site_fract_z
Cs1 Cs 0.0000 0.0000 0.0000
Ge1 Ge 0.5000 0.5000 0.5000
Br1 Br 0.0000 0.5000 0.5000
# - V: 32.62 A^3/atom
# - Total magnetization: 0.00 μB per formula unit
# - Formation energy from raw total energies: -1199 meV per atom


(8)
# Cs2H2Br | Alexandria | SCAN | PBEsol geometry
data_Cs2H2Br
_cell_length_a 9.5097
_cell_length_b 9.5097
_cell_length_c 5.3785
_cell_angle_alpha 90.00
_cell_angle_beta 90.00
_cell_angle_gamma 90.00
_symmetry_space_group_name_H-M 'P 4/m b m'
_symmetry_Int_Tables_number 127
_symmetry_space_group_name_Hall '-P 4 2ab'
loop_
_atom_site_label
_atom_site_type_symbol
_atom_site_fract_x
_atom_site_fract_y
_atom_site_fract_z
Cs1 Cs 0.1955 0.3045 0.0000
H1 H 0.0288 0.5288 0.5000
Br1 Br 0.0000 0.0000 0.0000
# - Total DFT energy (no corrections): -21.01 eV/atom
# - V: 48.64 A^3/atom
# - Total magnetization: 0.00 μB per formula unit


(9)
# CsHBrO2 | Alexandria | SCAN | PBEsol geometry
data_CsHBrO2
_cell_length_a 4.1805
_cell_length_b 4.1805
_cell_length_c 7.1539
_cell_angle_alpha 90.00
_cell_angle_beta 90.00
_cell_angle_gamma 90.00
_symmetry_space_group_name_H-M 'P 4/m m m'
_symmetry_Int_Tables_number 123
_symmetry_space_group_name_Hall '-P 4 2'
loop_
_atom_site_label
_atom_site_type_symbol
_atom_site_fract_x
_atom_site_fract_y
_atom_site_fract_z
Cs1 Cs 0.0000 0.0000 0.0000
H1 H 0.5000 0.5000 0.5000
Br1 Br 0.0000 0.0000 0.5000
O1 O 0.0000 0.5000 0.0000
# - Total DFT energy (no corrections): -13.65 eV/atom
# - V: 25.01 A^3/atom
# - Total magnetization: 0.26 μB per formula unit


(10)
# CsHf3Br | Alexandria | SCAN | PBEsol geometry
data_CsHf3Br
_cell_length_a 5.1148
_cell_length_b 5.1148
_cell_length_c 5.1148
_cell_angle_alpha 90.00
_cell_angle_beta 90.00
_cell_angle_gamma 90.00
_symmetry_space_group_name_H-M 'P m -3 m'
_symmetry_Int_Tables_number 221
_symmetry_space_group_name_Hall '-P 4 2 3'
loop_
_atom_site_label
_atom_site_type_symbol
_atom_site_fract_x
_atom_site_fract_y
_atom_site_fract_z
Cs1 Cs 0.0000 0.0000 0.0000
Hf1 Hf 0.0000 0.5000 0.5000
Br1 Br 0.5000 0.5000 0.5000
# - V: 26.76 A^3/atom
# - Total magnetization: 0.00 μB per formula unit
# - Formation energy from raw total energies: 1210 meV per atom


(11)
# CsHfBr3 | Alexandria | SCAN | PBEsol geometry
data_CsHfBr3
_cell_length_a 6.2137
_cell_length_b 6.2137
_cell_length_c 6.2137
_cell_angle_alpha 90.00
_cell_angle_beta 90.00
_cell_angle_gamma 90.00
_symmetry_space_group_name_H-M 'P m -3 m'
_symmetry_Int_Tables_number 221
_symmetry_space_group_name_Hall '-P 4 2 3'
loop_
_atom_site_label
_atom_site_type_symbol
_atom_site_fract_x
_atom_site_fract_y
_atom_site_fract_z
Cs1 Cs 0.0000 0.0000 0.0000
Hf1 Hf 0.5000 0.5000 0.5000
Br1 Br 0.0000 0.0000 0.5000
# - V: 47.98 A^3/atom
# - Total magnetization: 3.16 μB per formula unit
# - Formation energy from raw total energies: 450 meV per atom


(12)
# CsHg2Br5 | Alexandria | SCAN | PBEsol geometry
data_CsHg2Br5
_cell_length_a 8.3565
_cell_length_b 6.2286
_cell_length_c 11.1471
_cell_angle_alpha 90.00
_cell_angle_beta 107.37
_cell_angle_gamma 90.00
_symmetry_space_group_name_H-M 'P 1 21/m 1'
_symmetry_Int_Tables_number 11
loop_
_symmetry_equiv_pos_as_xyz
'x,y,z'
'-x,-y,-z'
'-x,y+1/2,-z'
'x,-y+1/2,z'
loop_
_atom_site_label
_atom_site_type_symbol
_atom_site_fract_x
_atom_site_fract_y
_atom_site_fract_z
Cs1 Cs 0.0272 0.2500 0.2529
Hg1 Hg 0.3703 0.7500 0.5625
Hg2 Hg 0.4576 0.7500 0.1485
Br1 Br 0.0703 0.7500 0.4296
Br2 Br 0.1487 0.7500 0.0972
Br3 Br 0.2558 0.2500 0.8714
Br4 Br 0.4011 0.2500 0.5659
Br5 Br 0.4626 0.2500 0.2047
# - V: 34.61 A^3/atom
# - Total magnetization: 0.00 μB per formula unit
# - Formation energy from raw total energies: -876 meV per atom


Question: Look up the total magnetization of the fifth one.
Answer: 0.01 μB per formula unit


Question: Number 5 is which compound?
Answer: CsGe3Br


Please write out number 3 again, unchanged.
# Cs2RbGaBr6 | Alexandria | SCAN | PBEsol geometry
data_Cs2RbGaBr6
_cell_length_a 11.3887
_cell_length_b 11.3887
_cell_length_c 11.3887
_cell_angle_alpha 90.00
_cell_angle_beta 90.00
_cell_angle_gamma 90.00
_symmetry_space_group_name_H-M 'F m -3 m'
_symmetry_Int_Tables_number 225
_symmetry_space_group_name_Hall '-F 4 2 3'
loop_
_atom_site_label
_atom_site_type_symbol
_atom_site_fract_x
_atom_site_fract_y
_atom_site_fract_z
Cs1 Cs 0.2500 0.2500 0.2500
Rb1 Rb 0.0000 0.0000 0.0000
Ga1 Ga 0.0000 0.0000 0.5000
Br1 Br 0.0000 0.0000 0.2781
# - V: 36.93 A^3/atom
# - Total magnetization: 0.00 μB per formula unit
# - Formation energy from raw total energies: -1526 meV per atom


Question: What is the V in the fifth record?
Answer: 36.76 A^3/atom